DFT (PBE-GGA) results for an optimized crystal structure of NiHg4Se.

a = 5.850 Å, b = 5.850 Å, c = 5.850 Å
α = 60.00°, β = 60.00°, γ = 60.00°
Element x y z (fractional)
1 Ni 0.000 0.000 0.000
2 Hg 0.375 0.375 0.375
3 Hg 0.375 0.375 0.875
4 Hg 0.375 0.875 0.375
5 Hg 0.875 0.375 0.375
6 Se 0.750 0.750 0.750

Computed properties:
The calculation puts the uncorrected formation energy at 0.637 eV per atom. Its density of states at the Fermi level is 6.3 states/eV/f.u. The uncorrected energy is -1.11 eV/atom.

---

DFT (PBE-GGA) results for an optimized crystal structure of Be3AgIr.

a = 4.228 Å, b = 4.228 Å, c = 4.228 Å
α = 90.00°, β = 90.00°, γ = 90.00°
Element x y z (fractional)
1 Be 0.000 0.000 0.500
2 Be 0.000 0.500 0.000
3 Be 0.500 0.000 0.000
4 Ag 0.500 0.500 0.500
5 Ir 0.000 0.000 0.000

Computed properties:
Its density of states at the Fermi level is 1.1 states/eV/f.u. The value obtained for the energy above the most stable polymorph in this dataset is 0.000 eV/atom. The uncorrected energy is -4.25 eV/atom.

---

DFT (PBE-GGA) results for an optimized crystal structure of Y2Al2Cr.

a = 7.190 Å, b = 7.190 Å, c = 4.479 Å
α = 90.00°, β = 90.00°, γ = 90.00°
Element x y z (fractional)
1 Y 0.172 0.328 0.000
2 Y 0.328 0.828 0.000
3 Y 0.672 0.172 0.000
4 Y 0.828 0.672 0.000
5 Al 0.130 0.630 0.500
6 Al 0.370 0.130 0.500
7 Al 0.630 0.870 0.500
8 Al 0.870 0.370 0.500
9 Cr 0.000 0.000 0.500
10 Cr 0.500 0.500 0.500

Computed properties:
Its density of states at the Fermi level is 5.5 states/eV/f.u. The uncorrected energy is -6.16 eV/atom.

---

DFT (PBE-GGA) results for an optimized crystal structure of CaCu2Bi2.

a = 4.348 Å, b = 4.348 Å, c = 13.061 Å
α = 90.00°, β = 90.00°, γ = 90.00°
Element x y z (fractional)
1 Ca 0.000 0.000 0.000
2 Ca 0.500 0.500 0.500
3 Cu 0.000 0.500 0.250
4 Cu 0.000 0.500 0.750
5 Cu 0.500 0.000 0.250
6 Cu 0.500 0.000 0.750
7 Bi 0.000 0.000 0.375
8 Bi 0.000 0.000 0.625
9 Bi 0.500 0.500 0.125
10 Bi 0.500 0.500 0.875

Computed properties:
Its density of states at the Fermi level is 2.4 states/eV/f.u. The value obtained for the energy above the most stable polymorph in this dataset is 0.000 eV/atom. The uncorrected energy is -3.72 eV/atom.

---

Look up the uncorrected energy of the second one. -4.25 eV/atom